The following is a DFT calculation (PBE) of a geometry-optimized NaSc2Cl6 structure.

abc: 14.265 5.132 7.819
angles: 90.00 98.59 90.00
Space group C2/m (No. 12)
Unique sites:
Na1 0.000 0.000 0.000 x2
Sc1 0.247 0.000 0.654 x4
Cl1 0.088 0.000 0.711 x4
Cl2 0.111 0.500 0.140 x4
Cl3 0.248 0.500 0.666 x4

Energy relative to the elements, uncorrected in eV/atom: -1.8642
Crystal system: monoclinic
E above lowest polymorph in eV/atom: 0.113
Volume in Å³/cell: 566.03
DOS at the Fermi energy in states/eV per atom: 0.144